Here is an optimized crystal structure of Sm2Co2Au from Alexandria. Energies are from GGA-PBE.

Output
Volume (Å³/cell): 102.3
Energy of formation from the pure elements (eV/atom): -0.374

Structure (extended XYZ):
```
5
Lattice="-0.361 1.414 -3.627 -3.782 -0.702 0.103 0.805 6.569 2.481" Properties=species:S:1:pos:R:3 pbc="T T T"
Sm -2.356 1.984 -1.099
Sm -0.982 5.297 0.056
Co -0.451 2.581 1.051
Co -2.526 3.285 1.532
Au 0.000 0.000 0.000
```